1.
# Sb3MoI

A geometry-optimized Sb3MoI structure (GGA-PBE, the Alexandria database).

D(E_F), states/eV/f.u.: 3.96
E above lowest polymorph, meV/atom: 0.0
Symmetry: Pm-3m
Energy relative to the elements, uncorrected, kJ per mole of atoms: 27.9

a = 5.2751 Å, b = 5.2751 Å, c = 5.2751 Å
α = 90.00°, β = 90.00°, γ = 90.00°
With the nearest neighbours (Å) after each atom.
Element x y z (fractional)
1 Sb 0.0000 0.0000 0.5000  2 Mo 2.64
2 Sb 0.0000 0.5000 0.0000  2 Mo 2.64
3 Sb 0.5000 0.0000 0.0000  2 Mo 2.64
4 Mo 0.0000 0.0000 0.0000  6 Sb 2.64
5 I 0.5000 0.5000 0.5000  12 Sb 3.73



2.
# Sb3MoI

A geometry-optimized Sb3MoI structure (GGA-PBE, the Alexandria database).

D(E_F), states/eV/f.u.: 3.36
E above lowest polymorph, meV/atom: 1484.3
Symmetry: Pm-3m
Energy relative to the elements, uncorrected, kJ per mole of atoms: 171.1

a = 5.6907 Å, b = 5.6907 Å, c = 5.6907 Å
α = 90.00°, β = 90.00°, γ = 90.00°
With the nearest neighbours (Å) after each atom.
Element x y z (fractional)
1 Sb 0.0000 0.0000 0.5000  2 I 2.85
2 Sb 0.0000 0.5000 0.0000  2 I 2.85
3 Sb 0.5000 0.0000 0.0000  2 I 2.85
4 Mo 0.5000 0.5000 0.5000  12 Sb 4.02
5 I 0.0000 0.0000 0.0000  6 Sb 2.85



3.
# ScSb2MoI

A geometry-optimized ScSb2MoI structure (GGA-PBE, the Alexandria database).

D(E_F), states/eV/f.u.: 5.76
E above lowest polymorph, meV/atom: 0.0
Symmetry: P4/mmm
Energy relative to the elements, uncorrected, kJ per mole of atoms: 52.1

a = 5.2091 Å, b = 5.2091 Å, c = 5.6789 Å
α = 90.00°, β = 90.00°, γ = 90.00°
With the nearest neighbours (Å) after each atom.
Element x y z (fractional)
1 Sc 0.0000 0.0000 0.0000  4 I 3.68, 8 Sb 3.85
2 Sb 0.0000 0.5000 0.5000  2 Mo 2.60
3 Sb 0.5000 0.0000 0.5000  2 Mo 2.60
4 Mo 0.5000 0.5000 0.5000  4 Sb 2.60, 2 I 2.84
5 I 0.5000 0.5000 0.0000  2 Mo 2.84



The highest D(E_F) belongs to which entry? ScSb2MoI



Please write out number 2 again, unchanged.
# Sb3MoI

A geometry-optimized Sb3MoI structure (GGA-PBE, the Alexandria database).

D(E_F), states/eV/f.u.: 3.36
E above lowest polymorph, meV/atom: 1484.3
Symmetry: Pm-3m
Energy relative to the elements, uncorrected, kJ per mole of atoms: 171.1

a = 5.6907 Å, b = 5.6907 Å, c = 5.6907 Å
α = 90.00°, β = 90.00°, γ = 90.00°
With the nearest neighbours (Å) after each atom.
Element x y z (fractional)
1 Sb 0.0000 0.0000 0.5000  2 I 2.85
2 Sb 0.0000 0.5000 0.0000  2 I 2.85
3 Sb 0.5000 0.0000 0.0000  2 I 2.85
4 Mo 0.5000 0.5000 0.5000  12 Sb 4.02
5 I 0.0000 0.0000 0.0000  6 Sb 2.85